# 1
This record from Alexandria describes RbTe2HI after structural relaxation. The functional is PBE.

Cell and atoms, written as extended XYZ:
```
5
Lattice="4.650 0.000 0.000 0.000 4.650 0.000 0.000 0.000 8.216" Properties=species:S:1:pos:R:3 pbc="T T T"
Rb 0.000 0.000 0.000
Te 0.000 2.325 4.108
Te 2.325 0.000 4.108
H 2.325 2.325 4.108
I 2.325 2.325 0.000
```

Space-group type: P4/mmm (123)
Distance to the lowest polymorph of the same formula, kJ per mole of atoms: 0.0

# 2
This record from Alexandria describes SrPr3S after structural relaxation. The functional is PBE.

Cell and atoms, written as extended XYZ:
```
5
Lattice="5.658 0.000 0.000 0.000 5.658 0.000 0.000 0.000 5.658" Properties=species:S:1:pos:R:3 pbc="T T T"
Sr 0.000 0.000 0.000
Pr 0.000 2.829 2.829
Pr 2.829 0.000 2.829
Pr 2.829 2.829 0.000
S 2.829 2.829 2.829
```

Space-group type: Pm-3m (221)
Formation energy (no corrections), eV per formula unit: -3.3

# 3
This record from Alexandria describes YSi2Rh3 after structural relaxation. The functional is PBE.

Cell and atoms, written as extended XYZ:
```
18
Lattice="7.938 -1.984 0.000 7.938 1.984 0.000 -3.027 0.000 9.231" Properties=species:S:1:pos:R:3 pbc="T T T"
Y 0.000 0.000 0.000
Y 0.424 0.000 6.453
Y 12.425 0.000 2.778
Si 2.715 0.000 1.186
Si 4.071 0.000 5.111
Si 6.698 0.000 2.053
Si 6.151 0.000 7.178
Si 8.778 0.000 4.120
Si 10.134 0.000 8.045
Rh -0.371 0.000 3.039
Rh 2.279 0.000 3.625
Rh 4.997 0.000 0.397
Rh 3.580 0.000 7.406
Rh 6.424 0.000 4.616
Rh 9.268 0.000 1.825
Rh 7.852 0.000 8.834
Rh 10.570 0.000 5.606
Rh 13.220 0.000 6.192
```

Space-group type: C2/m (12)
Distance to the lowest polymorph of the same formula, kJ per mole of atoms: 6.7
Formation energy (no corrections), eV per formula unit: -6.0

# 4
This record from Alexandria describes TaS2IO8 after structural relaxation. The functional is PBE.

Cell and atoms, written as extended XYZ:
```
12
Lattice="4.277 -2.662 0.000 4.277 2.662 0.000 -1.270 0.000 10.564" Properties=species:S:1:pos:R:3 pbc="T T T"
Ta 0.000 0.000 0.000
S 2.988 0.000 1.649
S 4.296 0.000 8.915
I -0.635 0.000 5.282
O 1.954 0.000 0.507
O 3.870 1.206 1.364
O 3.413 1.206 9.200
O 2.429 0.000 2.947
O 4.854 0.000 7.617
O 3.870 -1.206 1.364
O 3.413 -1.206 9.200
O 5.329 0.000 10.057
```

Space-group type: C2/m (12)
Formation energy (no corrections), eV per formula unit: -16.0

# 5
This record from Alexandria describes Tb2InPb3 after structural relaxation. The functional is PBE.

Cell and atoms, written as extended XYZ:
```
12
Lattice="8.469 -3.212 0.000 8.469 3.212 0.000 -0.981 0.000 6.376" Properties=species:S:1:pos:R:3 pbc="T T T"
Tb 2.622 0.919 0.531
Tb 2.132 -0.919 3.719
Tb 13.826 0.919 2.657
Tb 13.336 -0.919 5.845
In 7.734 0.322 4.782
In 8.224 -0.322 1.594
Pb 8.224 2.909 1.594
Pb 5.098 0.894 2.659
Pb 4.607 -0.894 5.847
Pb 11.350 0.894 0.529
Pb 10.860 -0.894 3.716
Pb 7.734 -2.909 4.782
```

Space-group type: C2/c (15)
Formation energy, eV/atom: -0.315
Distance to the lowest polymorph of the same formula, kJ per mole of atoms: 9.3

# 6
This record from Alexandria describes PaIr2O6 after structural relaxation. The functional is PBE.

Cell and atoms, written as extended XYZ:
```
27
Lattice="9.095 0.000 0.000 -4.548 7.877 0.000 0.000 0.000 4.613" Properties=species:S:1:pos:R:3 pbc="T T T"
Pa 0.000 0.000 0.000
Pa 0.000 5.251 2.295
Pa 4.548 2.626 2.318
Ir -1.510 2.616 2.307
Ir -3.026 5.241 0.000
Ir 3.021 0.000 2.307
Ir 1.522 2.635 0.000
Ir 6.052 0.000 0.000
Ir 3.037 5.261 2.307
O -1.584 4.349 3.478
O -0.004 1.823 3.433
O -2.967 6.968 3.433
O -1.578 6.153 1.116
O 0.008 3.433 1.116
O 1.581 0.908 1.181
O 2.970 1.723 3.498
O 1.573 4.330 3.478
O 0.011 7.074 3.478
O 2.964 3.527 1.135
O 4.559 0.803 1.135
O 1.570 6.166 1.116
O 2.970 6.962 3.433
O 6.118 1.710 3.498
O 4.555 4.443 3.498
O 4.544 6.053 1.181
O 7.518 0.915 1.181
O 6.120 3.546 1.135
```

Space-group type: P321 (150)
Formation energy (no corrections), eV per formula unit: -14.9

# 7
This record from Alexandria describes CaAc2Mg2 after structural relaxation. The functional is PBE.

Cell and atoms, written as extended XYZ:
```
10
Lattice="3.927 0.000 0.000 0.000 5.903 0.000 -1.977 0.000 15.488" Properties=species:S:1:pos:R:3 pbc="T T T"
Ca -0.003 1.476 4.617
Ca 1.953 4.427 10.871
Ac -0.006 4.427 1.344
Ac -0.003 4.427 7.177
Ac 1.954 1.476 8.311
Ac 1.957 1.476 14.144
Mg -0.013 1.476 11.258
Mg -0.012 4.427 13.714
Mg 1.962 1.476 1.774
Mg 1.963 4.427 4.230
```

Space-group type: P2_1/m (11)
Formation energy, eV/atom: -0.028
Distance to the lowest polymorph of the same formula, kJ per mole of atoms: 0.0

# 8
This record from Alexandria describes CuBrCl2 after structural relaxation. The functional is PBE.

Cell and atoms, written as extended XYZ:
```
4
Lattice="-1.860 1.860 7.476 1.860 -1.860 7.476 1.860 1.860 -7.476" Properties=species:S:1:pos:R:3 pbc="T T T"
Cu 0.000 0.000 0.000
Br 1.860 0.000 3.738
Cl 0.000 0.000 7.476
Cl 0.000 1.860 3.738
```

Space-group type: I-4m2 (119)
Distance to the lowest polymorph of the same formula, kJ per mole of atoms: 37.8
Formation energy (no corrections), eV per formula unit: 0.6

# 9
This record from Alexandria describes NiOsRh2 after structural relaxation. The functional is PBE.

Cell and atoms, written as extended XYZ:
```
4
Lattice="1.349 -2.289 0.000 1.349 2.289 0.000 0.000 0.000 9.038" Properties=species:S:1:pos:R:3 pbc="T T T"
Ni 0.000 0.000 0.000
Os 0.000 0.000 4.519
Rh 1.349 0.000 2.191
Rh 1.349 0.000 6.848
```

Space-group type: Cmmm (65)
Formation energy, eV/atom: 0.330
Distance to the lowest polymorph of the same formula, kJ per mole of atoms: 28.2

# 10
This record from Alexandria describes CaTbMg2 after structural relaxation. The functional is PBE.

Cell and atoms, written as extended XYZ:
```
4
Lattice="1.778 1.027 11.088 -1.778 1.027 11.088 0.000 -2.054 11.088" Properties=species:S:1:pos:R:3 pbc="T T T"
Ca 0.000 0.000 0.000
Tb 0.000 0.000 5.583
Mg 0.000 0.000 13.942
Mg 0.000 0.000 19.362
```

Space-group type: R3m (160)
Formation energy, eV/atom: 0.067

# 11
This record from Alexandria describes ZrAs2Se after structural relaxation. The functional is PBE.

Cell and atoms, written as extended XYZ:
```
4
Lattice="2.778 -4.225 0.000 2.778 4.225 0.000 -1.826 0.000 3.600" Properties=species:S:1:pos:R:3 pbc="T T T"
Zr 0.000 0.000 0.000
As 0.476 2.112 1.800
As 0.476 -2.112 1.800
Se 2.778 0.000 0.000
```

Space-group type: C2/m (12)
Formation energy (no corrections), eV per formula unit: -1.1

# 12
This record from Alexandria describes LiAgMo2 after structural relaxation. The functional is PBE.

Cell and atoms, written as extended XYZ:
```
4
Lattice="2.631 0.000 0.000 0.000 4.809 0.000 -1.243 0.000 4.970" Properties=species:S:1:pos:R:3 pbc="T T T"
Li 0.000 0.000 0.000
Ag -0.621 0.000 2.485
Mo 0.954 2.404 1.194
Mo 0.435 2.404 3.776
```

Space-group type: P2/m (10)
Formation energy, eV/atom: 0.379
Distance to the lowest polymorph of the same formula, kJ per mole of atoms: 17.4

# 13
This record from Alexandria describes MgScCuOs after structural relaxation. The functional is PBE.

Cell and atoms, written as extended XYZ:
```
4
Lattice="0.000 3.188 3.188 3.188 0.000 3.188 3.188 3.188 0.000" Properties=species:S:1:pos:R:3 pbc="T T T"
Mg 0.000 0.000 0.000
Sc 3.188 3.188 3.188
Cu 4.782 4.782 4.782
Os 1.594 1.594 1.594
```

Space-group type: F-43m (216)
Formation energy, eV/atom: -0.112

# 14
This record from Alexandria describes Ce2NdIn after structural relaxation. The functional is PBE.

Cell and atoms, written as extended XYZ:
```
4
Lattice="3.399 0.000 0.000 0.000 3.399 0.000 0.000 0.000 10.258" Properties=species:S:1:pos:R:3 pbc="T T T"
Ce 0.000 0.000 2.362
Ce 0.000 0.000 7.896
Nd 1.700 1.700 5.129
In 1.700 1.700 0.000
```

Space-group type: P4/mmm (123)
Formation energy, eV/atom: -0.084
Distance to the lowest polymorph of the same formula, kJ per mole of atoms: 11.3

# 15
This record from Alexandria describes AcCeBi3 after structural relaxation. The functional is PBE.

Cell and atoms, written as extended XYZ:
```
5
Lattice="5.931 0.000 0.000 0.000 5.931 0.000 0.000 0.000 5.931" Properties=species:S:1:pos:R:3 pbc="T T T"
Ac 0.000 0.000 0.000
Ce 2.966 2.966 2.966
Bi 0.000 2.966 2.966
Bi 2.966 0.000 2.966
Bi 2.966 2.966 0.000
```

Space-group type: Pm-3m (221)
Formation energy, eV/atom: -0.158

# 16
This record from Alexandria describes Er2PuTh3Se6 after structural relaxation. The functional is PBE.

Cell and atoms, written as extended XYZ:
```
12
Lattice="9.197 -2.023 0.000 9.197 2.023 0.000 -2.581 0.000 8.066" Properties=species:S:1:pos:R:3 pbc="T T T"
Er 2.180 0.000 2.675
Er 13.632 0.000 5.391
Pu 9.197 0.000 0.000
Th 0.893 0.000 6.738
Th 7.906 0.000 4.033
Th 14.919 0.000 1.328
Se -0.548 0.000 1.972
Se 4.940 0.000 3.437
Se 3.832 0.000 7.285
Se 11.981 0.000 0.781
Se 10.873 0.000 4.629
Se 16.360 0.000 6.094
```

Space-group type: C2/m (12)
Formation energy (no corrections), eV per formula unit: -19.1

# 17
This record from Alexandria describes Dy8Ho3Tm after structural relaxation. The functional is PBE.

Cell and atoms, written as extended XYZ:
```
12
Lattice="-3.814 3.814 7.627 3.814 -3.814 7.627 3.814 3.814 -7.627" Properties=species:S:1:pos:R:3 pbc="T T T"
Dy 1.910 1.910 -1.904
Dy 1.904 -1.904 5.724
Dy 1.910 1.910 1.904
Dy 1.904 -1.904 9.531
Dy -1.904 1.904 5.724
Dy 1.904 1.904 5.724
Dy -1.904 1.904 9.531
Dy 1.904 1.904 9.531
Ho 0.000 0.000 0.000
Ho 3.814 0.000 3.814
Ho 0.000 3.814 3.814
Tm 0.000 0.000 7.627
```

Space-group type: I4/mmm (139)
Formation energy, eV/atom: 0.723

# 18
This record from Alexandria describes Li2IrO6 after structural relaxation. The functional is PBE.

Cell and atoms, written as extended XYZ:
```
18
Lattice="4.703 0.000 0.000 0.000 4.703 0.000 0.000 0.000 9.059" Properties=species:S:1:pos:R:3 pbc="T T T"
Li 0.000 0.000 1.473
Li 0.000 0.000 7.587
Li 2.352 2.352 3.057
Li 2.352 2.352 6.002
Ir 0.000 0.000 4.530
Ir 2.352 2.352 0.000
O 0.920 0.920 3.215
O 0.920 0.920 5.844
O 1.023 1.023 0.000
O 1.329 3.375 4.530
O 1.431 3.272 1.315
O 1.431 3.272 7.745
O 3.272 1.431 1.315
O 3.272 1.431 7.745
O 3.375 1.329 4.530
O 3.681 3.681 0.000
O 3.783 3.783 3.215
O 3.783 3.783 5.844
```

Space-group type: P4_2/mnm (136)
Formation energy (no corrections), eV per formula unit: -6.0

Number 1: volume 35.52 A^3/atom. Number 2: volume 36.23 A^3/atom. Number 3: volume 16.15 A^3/atom. Number 4: volume 20.05 A^3/atom. Number 5: volume 28.91 A^3/atom. Number 6: volume 12.24 A^3/atom. Number 7: volume 35.90 A^3/atom. Number 8: volume 25.87 A^3/atom. Number 9: volume 13.95 A^3/atom. Number 10: volume 30.37 A^3/atom. Number 11: volume 21.12 A^3/atom. Number 12: volume 15.72 A^3/atom. Number 13: volume 16.20 A^3/atom. Number 14: volume 29.63 A^3/atom. Number 15: volume 41.73 A^3/atom. Number 16: volume 25.01 A^3/atom. Number 17: volume 36.99 A^3/atom. Number 18: volume 11.13 A^3/atom.